Entry 1:
TlBi2H | SCAN | single point on PBEsol structure

Unit cell a=7.251 b=7.251 c=7.251 alpha=90.00 beta=90.00 gamma=90.00
Space group Fm-3m (No. 225)
Inequivalent atoms, fractional coordinates:
Tl 0.000 0.000 0.000 (multiplicity 4)
Bi 0.250 0.250 0.250 (multiplicity 8)
H 0.000 0.000 0.500 (multiplicity 4)

Magnetic moment   0.039 μB/atom
Crystal system   cubic
Fermi-level density of states   0.582 states/eV per atom
Energy   -57.62 eV per atom

***

Entry 2:
YCo2As | SCAN | single point on PBEsol structure

Unit cell a=3.737 b=3.737 c=8.463 alpha=90.00 beta=90.00 gamma=90.00
Space group I-4m2 (No. 119)
Inequivalent atoms, fractional coordinates:
Y 0.000 0.000 0.000 (multiplicity 2)
Co 0.000 0.000 0.500 (multiplicity 2)
Co 0.000 0.500 0.750 (multiplicity 2)
As 0.000 0.500 0.250 (multiplicity 2)

Magnetic moment   0.542 μB/atom
Crystal system   tetragonal
Fermi-level density of states   0.663 states/eV per atom
Formation energy   -0.04 eV per atom

***

Entry 3:
YTl3Co | SCAN | single point on PBEsol structure

Unit cell a=4.916 b=4.916 c=4.916 alpha=90.00 beta=90.00 gamma=90.00
Space group Pm-3m (No. 221)
Inequivalent atoms, fractional coordinates:
Y 0.000 0.000 0.000 (multiplicity 1)
Tl 0.000 0.500 0.500 (multiplicity 3)
Co 0.500 0.500 0.500 (multiplicity 1)

Magnetic moment   0.001 μB/atom
Crystal system   cubic
Fermi-level density of states   0.659 states/eV per atom
Formation energy   0.16 eV per atom

***

Entry 4:
CuSbW2 | SCAN | single point on PBEsol structure

Unit cell a=3.831 b=3.831 c=4.341 alpha=90.00 beta=90.00 gamma=90.00
Space group P4/mmm (No. 123)
Inequivalent atoms, fractional coordinates:
Cu 0.000 0.000 0.000 (multiplicity 1)
Sb 0.500 0.500 0.000 (multiplicity 1)
W 0.000 0.500 0.500 (multiplicity 2)

Magnetic moment   0.000 μB/atom
Crystal system   tetragonal
Fermi-level density of states   0.794 states/eV per atom
Formation energy without anion corrections   666 meV/atom

***

Entry 5:
Na2NiN | SCAN | single point on PBEsol structure

Unit cell a=9.693 b=9.693 c=3.449 alpha=90.00 beta=90.00 gamma=90.00
Space group I-42d (No. 122)
Inequivalent atoms, fractional coordinates:
Na 0.014 0.750 0.125 (multiplicity 8)
Ni 0.000 0.000 0.500 (multiplicity 4)
N 0.000 0.000 0.000 (multiplicity 4)

Magnetic moment   0.000 μB/atom
Crystal system   tetragonal
Fermi-level density of states   0.178 states/eV per atom
Formation energy without anion corrections   -156 meV/atom

***

Entry 6:
CuAuCl2 | SCAN | single point on PBEsol structure

Unit cell a=4.568 b=4.568 c=3.263 alpha=90.00 beta=90.00 gamma=90.00
Space group P4/mmm (No. 123)
Inequivalent atoms, fractional coordinates:
Cu 0.000 0.000 0.000 (multiplicity 1)
Au 0.500 0.500 0.000 (multiplicity 1)
Cl 0.000 0.500 0.500 (multiplicity 2)

Magnetic moment   0.000 μB/atom
Crystal system   tetragonal
Fermi-level density of states   0.580 states/eV per atom
Formation energy without anion corrections   195 meV/atom
Energy above the lowest structure with this stoichiometry   18.1 kJ per mole of atoms

***

Entry 7:
LiBiSN2 | SCAN | single point on PBEsol structure

Unit cell a=4.355 b=4.355 c=5.319 alpha=90.00 beta=90.00 gamma=90.00
Space group P4/mmm (No. 123)
Inequivalent atoms, fractional coordinates:
Li 0.000 0.000 0.000 (multiplicity 1)
Bi 0.500 0.500 0.500 (multiplicity 1)
S 0.500 0.500 0.000 (multiplicity 1)
N 0.000 0.500 0.500 (multiplicity 2)

Magnetic moment   0.547 μB/atom
Crystal system   tetragonal
Fermi-level density of states   0.393 states/eV per atom
Formation energy without anion corrections   1155 meV/atom

***

Entry 8:
FeAsN2Cl | SCAN | single point on PBEsol structure

Unit cell a=3.632 b=3.632 c=4.712 alpha=90.00 beta=90.00 gamma=90.00
Space group P4/mmm (No. 123)
Inequivalent atoms, fractional coordinates:
Fe 0.000 0.000 0.000 (multiplicity 1)
As 0.500 0.500 0.500 (multiplicity 1)
N 0.000 0.500 0.000 (multiplicity 2)
Cl 0.000 0.000 0.500 (multiplicity 1)

Magnetic moment   0.001 μB/atom
Crystal system   tetragonal
Fermi-level density of states   0.824 states/eV per atom
Formation energy without anion corrections   1143 meV/atom

***

Entry 9:
KZnAu2 | SCAN | single point on PBEsol structure

Unit cell a=2.858 b=3.645 c=7.831 alpha=90.00 beta=90.00 gamma=90.00
Space group Pmmm (No. 47)
Inequivalent atoms, fractional coordinates:
K 0.000 0.000 0.000 (multiplicity 1)
Zn 0.000 0.000 0.500 (multiplicity 1)
Au 0.500 0.500 0.315 (multiplicity 2)

Magnetic moment   0.000 μB/atom
Crystal system   orthorhombic
Fermi-level density of states   0.321 states/eV per atom
Formation energy   -0.22 eV per atom

***

Entry 10:
Sr3ZnGa | SCAN | single point on PBEsol structure

Unit cell a=6.044 b=6.044 c=6.044 alpha=90.00 beta=90.00 gamma=90.00
Space group Pm-3m (No. 221)
Inequivalent atoms, fractional coordinates:
Sr 0.000 0.000 0.500 (multiplicity 3)
Zn 0.500 0.500 0.500 (multiplicity 1)
Ga 0.000 0.000 0.000 (multiplicity 1)

Magnetic moment   0.324 μB/atom
Crystal system   cubic
Fermi-level density of states   0.916 states/eV per atom
Formation energy   0.11 eV per atom

***

Entry 11:
TiGa2OsCl | SCAN | single point on PBEsol structure

Unit cell a=4.524 b=4.524 c=4.263 alpha=90.00 beta=90.00 gamma=90.00
Space group P4/mmm (No. 123)
Inequivalent atoms, fractional coordinates:
Ti 0.000 0.000 0.000 (multiplicity 1)
Ga 0.000 0.500 0.500 (multiplicity 2)
Os 0.500 0.500 0.000 (multiplicity 1)
Cl 0.000 0.000 0.500 (multiplicity 1)

Magnetic moment   0.000 μB/atom
Crystal system   tetragonal
Fermi-level density of states   0.744 states/eV per atom
Formation energy without anion corrections   1092 meV/atom

***

Entry 12:
TlZnRu2 | SCAN | single point on PBEsol structure

Unit cell a=2.9207 b=2.9207 c=25.1535 alpha=90.00 beta=90.00 gamma=120.00
Space group R-3m (No. 166, hexagonal axes)
Inequivalent atoms, fractional coordinates:
Tl 0.0000 0.0000 0.0000 (multiplicity 3)
Zn 0.0000 0.0000 0.5000 (multiplicity 3)
Ru 0.0000 0.0000 0.2449 (multiplicity 6)

Magnetic moment   0.217 μB/atom
Crystal system   trigonal
Fermi-level density of states   0.702 states/eV per atom
Formation energy   0.53 eV per atom
Energy above the lowest structure with this stoichiometry   26.1 kJ per mole of atoms